(1)
Density functional theory data (GGA-PBE) for a relaxed Cu2SbPd4 crystal.

The structure in CIF format:
```
data_Cu2SbPd4
_space_group_name_H-M_alt 'P 1'
_space_group_IT_number 1
_cell_length_a 6.649
_cell_length_b 6.649
_cell_length_c 6.649
_cell_angle_alpha 109.45
_cell_angle_beta 109.51
_cell_angle_gamma 109.45
loop_
_space_group_symop_operation_xyz
'x,y,z'
loop_
_atom_site_label
_atom_site_fract_x
_atom_site_fract_y
_atom_site_fract_z
_atom_site_occupancy
Cu1 0.875 0.121 0.496 1
Cu2 0.504 0.379 0.625 1
Cu3 0.375 0.879 0.754 1
Cu4 0.246 0.621 0.125 1
Sb1 0.000 0.000 0.000 1
Sb2 0.750 0.500 0.250 1
Pd1 0.135 0.911 0.381 1
Pd2 0.619 0.754 0.530 1
Pd3 0.974 0.589 0.720 1
Pd4 0.280 0.254 0.869 1
Pd5 0.615 0.746 0.026 1
Pd6 0.776 0.246 0.865 1
Pd7 0.470 0.089 0.224 1
Pd8 0.131 0.411 0.385 1
```

Results
- total magnetic moment (μB/atom) = 0.00
- distance to the lowest polymorph of the same formula (meV per atom) = 35.7
- SG = No. 122

(2)
Density functional theory data (GGA-PBE) for a relaxed SmPdCl6 crystal.

The structure in CIF format:
```
data_SmPdCl6
_space_group_name_H-M_alt 'P 1'
_space_group_IT_number 1
_cell_length_a 6.362
_cell_length_b 6.639
_cell_length_c 6.866
_cell_angle_alpha 64.03
_cell_angle_beta 62.54
_cell_angle_gamma 58.33
loop_
_space_group_symop_operation_xyz
'x,y,z'
loop_
_atom_site_label
_atom_site_fract_x
_atom_site_fract_y
_atom_site_fract_z
_atom_site_occupancy
Sm1 0.500 0.500 0.500 1
Pd1 0.000 0.000 0.000 1
Cl1 0.081 0.400 0.755 1
Cl2 0.775 0.070 0.766 1
Cl3 0.603 0.223 0.237 1
Cl4 0.225 0.930 0.234 1
Cl5 0.919 0.600 0.245 1
Cl6 0.397 0.777 0.763 1
```

Results
- DFT total energy (eV per atom) = -3.8373
- total magnetic moment (μB/atom) = 0.13
- SG = No. 2

(3)
Density functional theory data (GGA-PBE) for a relaxed Zn3AgRh2 crystal.

The structure in CIF format:
```
data_Zn3AgRh2
_space_group_name_H-M_alt 'P 1'
_space_group_IT_number 1
_cell_length_a 3.133
_cell_length_b 4.282
_cell_length_c 6.795
_cell_angle_alpha 108.37
_cell_angle_beta 90.00
_cell_angle_gamma 90.00
loop_
_space_group_symop_operation_xyz
'x,y,z'
loop_
_atom_site_label
_atom_site_fract_x
_atom_site_fract_y
_atom_site_fract_z
_atom_site_occupancy
Zn1 0.500 0.500 0.000 1
Zn2 0.500 0.823 0.646 1
Zn3 0.500 0.177 0.354 1
Ag1 0.000 0.000 0.000 1
Rh1 0.000 0.340 0.679 1
Rh2 0.000 0.660 0.321 1
```

Results
- ΔE_f (eV per atom) = -0.329
- total magnetic moment (μB/atom) = 0.00
- distance to the lowest polymorph of the same formula (meV per atom) = 0.0
- SG = No. 65

(4)
Density functional theory data (GGA-PBE) for a relaxed KBa2I5 crystal.

The structure in CIF format:
```
data_KBa2I5
_space_group_name_H-M_alt 'P 1'
_space_group_IT_number 1
_cell_length_a 9.395
_cell_length_b 10.436
_cell_length_c 15.065
_cell_angle_alpha 89.86
_cell_angle_beta 90.00
_cell_angle_gamma 90.00
loop_
_space_group_symop_operation_xyz
'x,y,z'
loop_
_atom_site_label
_atom_site_fract_x
_atom_site_fract_y
_atom_site_fract_z
_atom_site_occupancy
K1 0.017 0.496 0.321 1
K2 0.983 0.504 0.679 1
K3 0.517 0.504 0.179 1
K4 0.483 0.496 0.821 1
Ba1 0.025 0.000 0.322 1
Ba2 0.975 0.000 0.678 1
Ba3 0.525 0.000 0.178 1
Ba4 0.475 0.000 0.822 1
Ba5 0.077 0.252 0.006 1
Ba6 0.923 0.748 0.994 1
Ba7 0.577 0.748 0.494 1
Ba8 0.423 0.252 0.506 1
I1 0.160 0.540 0.102 1
I2 0.840 0.460 0.898 1
I3 0.660 0.460 0.398 1
I4 0.340 0.540 0.602 1
I5 0.831 0.221 0.183 1
I6 0.169 0.779 0.817 1
I7 0.331 0.779 0.317 1
I8 0.669 0.221 0.683 1
I9 0.302 0.235 0.281 1
I10 0.698 0.765 0.719 1
I11 0.802 0.765 0.219 1
I12 0.198 0.235 0.781 1
I13 0.459 0.229 0.002 1
I14 0.541 0.771 0.998 1
I15 0.959 0.771 0.498 1
I16 0.041 0.229 0.502 1
I17 0.663 0.042 0.401 1
I18 0.337 0.958 0.599 1
I19 0.163 0.958 0.099 1
I20 0.837 0.042 0.901 1
```

Results
- total magnetic moment (μB/atom) = 0.00
- distance to the lowest polymorph of the same formula (meV per atom) = 0.0
- SG = No. 14

(5)
Density functional theory data (GGA-PBE) for a relaxed RbAlN2 crystal.

The structure in CIF format:
```
data_RbAlN2
_space_group_name_H-M_alt 'P 1'
_space_group_IT_number 1
_cell_length_a 7.249
_cell_length_b 7.249
_cell_length_c 7.249
_cell_angle_alpha 25.59
_cell_angle_beta 25.59
_cell_angle_gamma 25.59
loop_
_space_group_symop_operation_xyz
'x,y,z'
loop_
_atom_site_label
_atom_site_fract_x
_atom_site_fract_y
_atom_site_fract_z
_atom_site_occupancy
Al1 0.500 0.500 0.500 1
Rb1 0.000 0.000 0.000 1
N1 0.877 0.877 0.877 1
N2 0.123 0.123 0.123 1
```

Results
- DFT total energy (eV per atom) = -4.8608
- total magnetic moment (μB/atom) = 0.49
- SG = No. 166

(6)
Density functional theory data (GGA-PBE) for a relaxed LiIn2Pd2 crystal.

The structure in CIF format:
```
data_LiIn2Pd2
_space_group_name_H-M_alt 'P 1'
_space_group_IT_number 1
_cell_length_a 7.733
_cell_length_b 7.733
_cell_length_c 3.157
_cell_angle_alpha 90.00
_cell_angle_beta 90.00
_cell_angle_gamma 90.00
loop_
_space_group_symop_operation_xyz
'x,y,z'
loop_
_atom_site_label
_atom_site_fract_x
_atom_site_fract_y
_atom_site_fract_z
_atom_site_occupancy
Li1 0.000 0.000 0.000 1
Li2 0.500 0.500 0.000 1
Pd1 0.150 0.650 0.500 1
Pd2 0.650 0.850 0.500 1
Pd3 0.850 0.350 0.500 1
Pd4 0.350 0.150 0.500 1
In1 0.351 0.851 0.000 1
In2 0.851 0.649 0.000 1
In3 0.649 0.149 0.000 1
In4 0.149 0.351 0.000 1
```

Results
- ΔE_f (eV per atom) = -0.476
- total magnetic moment (μB/atom) = 0.00
- distance to the lowest polymorph of the same formula (meV per atom) = 31.0
- SG = No. 127